1.
A plane-wave DFT calculation with PBE-GGA was carried out for crystalline DyInAs2Rh5 at its relaxed geometry.

The total energy comes out at -6.551 eV per atom. As for the crystal system: tetragonal. The calculation puts the density of states at the Fermi level at 0.641 states/eV/atom. The space-group type is P4/mmm (123).

Cell: 4.189 4.189 8.650 Å, 90.00 90.00 90.00°
Positions (direct):
1 Dy 0.000 0.000 0.000
2 In 0.000 0.000 0.500
3 As 0.500 0.500 0.146
4 As 0.500 0.500 0.854
5 Rh 0.000 0.500 0.278
6 Rh 0.000 0.500 0.722
7 Rh 0.500 0.000 0.278
8 Rh 0.500 0.000 0.722
9 Rh 0.500 0.500 0.500

2.
A plane-wave DFT calculation with PBE-GGA was carried out for crystalline Dy3InAs2Rh9 at its relaxed geometry.

The total energy comes out at -6.546 eV per atom. As for the crystal system: trigonal. The calculation puts the density of states at the Fermi level at 0.641 states/eV/atom. The space-group type is P-3m1 (164).

Cell: 6.230 6.230 9.529 Å, 90.00 90.00 120.00°
Positions (direct):
1 Dy 0.000 0.000 0.000
2 Dy 0.333 0.667 0.749
3 Dy 0.667 0.333 0.251
4 In 0.000 0.000 0.500
5 As 0.333 0.667 0.167
6 As 0.667 0.333 0.833
7 Rh 0.000 0.500 0.000
8 Rh 0.140 0.280 0.261
9 Rh 0.140 0.860 0.261
10 Rh 0.280 0.140 0.739
11 Rh 0.500 0.000 0.000
12 Rh 0.500 0.500 0.000
13 Rh 0.720 0.860 0.261
14 Rh 0.860 0.140 0.739
15 Rh 0.860 0.720 0.739

3.
A plane-wave DFT calculation with PBE-GGA was carried out for crystalline Dy6InAs2Se3 at its relaxed geometry.

As for the uncorrected formation energy: -1.46 eV per atom. The total energy comes out at -5.636 eV per atom. As for the crystal system: monoclinic. The calculation puts the density of states at the Fermi level at 0.290 states/eV/atom. The space-group type is C2/m (12).

Cell: 9.290 9.290 8.401 Å, 102.91 102.91 25.47°
Positions (direct):
1 Dy 0.002 0.002 0.261
2 Dy 0.329 0.329 0.423
3 Dy 0.331 0.331 0.907
4 Dy 0.669 0.669 0.093
5 Dy 0.671 0.671 0.577
6 Dy 0.998 0.998 0.739
7 In 0.500 0.500 0.000
8 As 0.167 0.167 0.336
9 As 0.833 0.833 0.664
10 Se 0.167 0.167 0.831
11 Se 0.500 0.500 0.500
12 Se 0.833 0.833 0.169